(1)
The following is a DFT calculation (PBE-GGA) of a relaxed structure of Nb3VFe.

Computed properties:
- Total energy: -41.78 eV per cell
- ΔE_f: 116.0 kJ per mole of atoms
- DOS at the Fermi energy: 6.770 states/eV/f.u.
- Offset from the most stable computed form: 352 meV per atom
- Magnetization: 3.153 μB per formula unit
- Symmetry: Pm-3m (221)

a b c (Å): 4.614 4.614 4.614
angles (deg): 90.00 90.00 90.00
Site moments in Bohr magnetons follow the coordinates.
Element x y z (fractional)
Nb 0.000 0.500 0.000  -0.02
Nb 0.000 0.000 0.500  -0.02
Nb 0.500 0.000 0.000  -0.02
Fe 0.500 0.500 0.500  3.11
V 0.000 0.000 0.000  0.05

=====

(2)
The following is a DFT calculation (PBE-GGA) of a relaxed structure of NbVFeW.

Computed properties:
- Total energy: -40.56 eV per cell
- ΔE_f: 1.0 kJ per mole of atoms
- DOS at the Fermi energy: 2.949 states/eV/f.u.
- Magnetization: 0.690 μB per formula unit
- Symmetry: F-43m (216)

a b c (Å): 4.366 4.366 4.366
angles (deg): 60.00 60.00 60.00
Site moments in Bohr magnetons follow the coordinates.
Element x y z (fractional)
Nb 0.250 0.250 0.250  -0.21
Fe 0.500 0.500 0.500  1.33
W 0.000 0.000 0.000  0.11
V 0.750 0.750 0.750  -0.42

=====

(3)
The following is a DFT calculation (PBE-GGA) of a relaxed structure of ZrNbVFe.

Computed properties:
- Total energy: -36.05 eV per cell
- ΔE_f: 3.5 kJ per mole of atoms
- DOS at the Fermi energy: 4.879 states/eV/f.u.
- Magnetization: 1.446 μB per formula unit
- Symmetry: F-43m (216)

a b c (Å): 4.487 4.487 4.487
angles (deg): 60.00 60.00 60.00
Site moments in Bohr magnetons follow the coordinates.
Element x y z (fractional)
Nb 0.250 0.250 0.250  -0.16
Fe 0.000 0.000 0.000  0.48
Zr 0.750 0.750 0.750  0.00
V 0.500 0.500 0.500  1.02